Crystalline Na5Li at its relaxed geometry. Source: Alexandria, functional PBE-GGA.

Summary:
**Total DFT energy (no corrections)**: -0.102 Ry/atom
**Energy relative to the elements**: 0.031 eV/atom
**Magnetic moment**: 0.00 μB per formula unit
**Symmetry**: C2/m

Geometry as POSCAR:
```
Na5Li
1.0
-4.3212 -0.4782 -0.7700
3.1439 -5.4627 -1.5928
-1.3374 -0.3480 7.7214
Na Li
5 1
direct
0.6361 0.2723 0.2630 Na
0.3133 0.6267 0.1010 Na
0.3087 0.6173 0.6260 Na
0.9720 0.9441 0.4442 Na
0.6310 0.2619 0.7879 Na
0.9722 0.9444 0.9446 Li
```



Crystalline Pu2MgO11 at its relaxed geometry. Source: Alexandria, functional PBE-GGA.

Summary:
**Total DFT energy (no corrections)**: -0.568 Ry/atom
**Magnetic moment**: 2.00 μB per formula unit
**Symmetry**: Cc

Geometry as POSCAR:
```
Pu2MgO11
1.0
-1.3575 -7.5300 -3.6483
5.5586 -4.7544 -2.1029
0.0563 -7.6001 5.8179
O Pu Mg
22 4 2
direct
0.3270 0.4992 0.5159 O
0.9579 0.7778 0.4593 O
0.7739 0.5627 0.6849 O
0.9229 0.0060 0.6598 O
0.4785 0.0627 0.1849 O
0.3049 0.2778 0.9593 O
0.5010 0.4764 0.5097 O
0.2376 0.4915 0.2529 O
0.7262 0.2550 0.8778 O
0.9357 0.8842 0.1515 O
0.0130 0.9764 0.0097 O
0.7453 0.8242 0.9568 O
0.9113 0.5060 0.1598 O
0.1540 0.9943 0.3185 O
0.1580 0.9992 0.0159 O
0.4627 0.6753 0.1733 O
0.1886 0.1754 0.6733 O
0.5179 0.9915 0.7529 O
0.0332 0.4944 0.8185 O
0.6410 0.7550 0.3778 O
0.9737 0.3242 0.4568 O
0.5286 0.3842 0.6515 O
0.6926 0.7851 0.1700 Pu
0.1986 0.7351 0.2985 Pu
0.8524 0.2851 0.6700 Pu
0.2678 0.2351 0.7985 Pu
0.8230 0.7831 0.7211 Mg
0.1728 0.2831 0.2211 Mg
```



Crystalline YCd2Ru at its relaxed geometry. Source: Alexandria, functional PBE-GGA.

Summary:
**Total DFT energy (no corrections)**: -0.329 Ry/atom
**Energy relative to the elements**: -0.088 eV/atom
**Magnetic moment**: 0.00 μB per formula unit
**Symmetry**: P4mm

Geometry as POSCAR:
```
YCd2Ru
1.0
-0.0016 -0.1607 3.4393
-0.8033 -3.3444 -0.1566
7.0297 -1.6849 -0.0755
Y Cd Ru
1 2 1
direct
0.5000 0.5000 0.7051 Y
0.0000 0.0000 0.0288 Cd
0.5000 0.5000 0.2763 Cd
0.0000 0.0000 0.4899 Ru
```